A) First-principles (PBE-GGA) data for a geometry-optimized Dy2TlIn2 structure, as listed in Alexandria via LeMat-Bulk.

Properties
Size of the total moment: 0.0 μB per cell
Crystal system: tetragonal
Space group: P4/mbm

The structure in extended XYZ format:
```
10
Lattice="-1.489 -3.676 -2.423 4.624 1.948 -5.798 5.602 -4.268 3.033" Properties=species:S:1:pos:R:3 pbc="T T T"
Dy 4.965 -1.635 -5.029
Dy 7.005 -4.090 -2.558
Dy 1.731 -1.906 -2.629
In 2.671 -1.308 0.343
In 7.555 -1.012 -3.108
Tl 5.113 -1.160 -1.382
In 3.671 0.666 -3.266
In 6.555 -2.986 0.501
Tl 0.000 0.000 0.000
Dy 3.771 -4.361 -0.158
```

B) First-principles (PBE-GGA) data for a geometry-optimized Dy2TlIn2 structure, as listed in Alexandria via LeMat-Bulk.

Properties
Size of the total moment: 0.0 μB per cell
Crystal system: orthorhombic
Space group: Cmmm

The structure in extended XYZ format:
```
5
Lattice="-1.281 -0.085 -3.226 -2.426 -3.927 1.067 -4.991 6.434 1.812" Properties=species:S:1:pos:R:3 pbc="T T T"
Dy -5.443 3.417 0.202
Dy -3.256 -0.996 -0.549
In -4.959 0.735 1.949
In -2.459 1.772 0.929
Tl 0.000 0.000 0.000
```

Stability comparison, relative energies in meV/atom: A) 27; B) 0

A) First-principles (PBE-GGA) data for a geometry-optimized Dy4TmIn structure, as listed in Alexandria via LeMat-Bulk.

Properties
Size of the total moment: 0.0 μB per cell
Crystal system: tetragonal
Space group: P4/mmm

The structure in extended XYZ format:
```
6
Lattice="-0.882 -3.396 -0.527 3.145 -1.017 1.289 -5.559 -0.589 13.097" Properties=species:S:1:pos:R:3 pbc="T T T"
In -1.648 -2.501 6.929
Tm 0.000 0.000 0.000
Dy -1.950 -0.207 4.595
Dy 0.165 -2.309 2.658
Dy -3.608 -0.383 8.502
Dy -3.461 -2.693 11.201
```

B) First-principles (PBE-GGA) data for a geometry-optimized Dy4TmIn structure, as listed in Alexandria via LeMat-Bulk.

Properties
Size of the total moment: 0.0 μB per cell
Crystal system: orthorhombic
Space group: Cmc2_1

The structure in extended XYZ format:
```
12
Lattice="-5.019 -0.121 1.965 2.362 -9.306 5.460 4.295 3.306 3.777" Properties=species:S:1:pos:R:3 pbc="T T T"
Dy -1.477 -0.446 3.596
Dy 2.720 -4.118 6.693
Dy 2.882 -7.654 6.889
Tm 1.696 -0.038 4.329
Dy 3.957 -5.720 9.752
In 0.964 -6.591 9.451
Dy 1.648 -6.465 3.812
In 1.593 -3.149 3.874
Dy -0.266 1.355 6.797
Dy -1.376 -4.112 3.628
Dy -0.308 -2.152 6.476
Tm -0.155 -5.701 6.649
```

Stability comparison, relative energies in meV/atom: A) 0; B) 18

A) First-principles (PBE-GGA) data for a geometry-optimized DyTm4In2 structure, as listed in Alexandria via LeMat-Bulk.

Properties
Size of the total moment: 0.3 μB per cell
Crystal system: trigonal
Space group: R-3m

The structure in extended XYZ format:
```
7
Lattice="5.054 0.000 0.000 2.527 4.377 0.000 2.527 1.459 10.238" Properties=species:S:1:pos:R:3 pbc="T T T"
Tm 7.581 4.377 3.341
Dy 5.054 2.918 5.119
Tm 7.581 4.377 9.113
In 5.054 2.918 2.037
In 5.054 2.918 8.202
Tm 2.527 1.459 6.898
Tm 2.527 1.459 1.125
```

B) First-principles (PBE-GGA) data for a geometry-optimized DyTm4In2 structure, as listed in Alexandria via LeMat-Bulk.

Properties
Size of the total moment: 0.0 μB per cell
Crystal system: orthorhombic
Space group: Fmmm

The structure in extended XYZ format:
```
14
Lattice="10.710 0.000 0.000 0.000 6.099 -2.822 0.000 -0.622 6.657" Properties=species:S:1:pos:R:3 pbc="T T T"
Tm 7.154 0.002 -0.001
In 5.355 1.083 2.341
Tm 1.799 2.425 5.247
Tm 2.677 2.737 1.918
In 5.355 4.394 1.494
Tm 2.677 5.787 0.507
Tm 8.032 -0.310 3.328
In 10.710 1.344 2.905
Tm 3.556 5.475 3.836
Dy 0.000 0.000 0.000
Tm 8.911 3.052 -1.412
Dy 5.355 3.050 -1.411
In 0.000 4.133 0.930
Tm 8.032 2.740 1.917
```

Stability comparison, relative energies in meV/atom: A) 164; B) 0

A) First-principles (PBE-GGA) data for a geometry-optimized Dy2TmIn structure, as listed in Alexandria via LeMat-Bulk.

Properties
Size of the total moment: 0.5 μB per cell
Crystal system: trigonal
Space group: R3m

The structure in extended XYZ format:
```
4
Lattice="3.559 0.000 0.000 1.780 3.082 0.000 1.780 1.027 10.857" Properties=species:S:1:pos:R:3 pbc="T T T"
Tm 3.559 2.055 5.428
Dy 1.780 1.027 8.264
In 3.559 2.055 0.005
Dy 1.780 1.027 2.590
```

B) First-principles (PBE-GGA) data for a geometry-optimized Dy2TmIn structure, as listed in Alexandria via LeMat-Bulk.

Properties
Size of the total moment: 0.0 μB per cell
Crystal system: tetragonal
Space group: P4/mmm

The structure in extended XYZ format:
```
4
Lattice="-2.302 -3.849 1.759 2.590 0.305 4.058 -3.354 2.885 1.924" Properties=species:S:1:pos:R:3 pbc="T T T"
Dy -1.677 1.442 0.962
Dy 1.295 0.153 2.029
In -1.151 -1.924 0.879
Tm -1.533 -0.329 3.870
```

C) First-principles (PBE-GGA) data for a geometry-optimized Dy2TmIn structure, as listed in Alexandria via LeMat-Bulk.

Properties
Size of the total moment: 0.0 μB per cell
Crystal system: tetragonal
Space group: P4/mmm

The structure in extended XYZ format:
```
4
Lattice="3.553 0.000 0.000 0.000 3.553 0.000 0.000 0.000 9.225" Properties=species:S:1:pos:R:3 pbc="T T T"
Tm 1.776 1.776 4.613
Dy 0.000 0.000 2.122
In 1.776 1.776 0.000
Dy 0.000 0.000 7.103
```

D) First-principles (PBE-GGA) data for a geometry-optimized Dy2TmIn structure, as listed in Alexandria via LeMat-Bulk.

Properties
Size of the total moment: 0.7 μB per cell
Crystal system: cubic
Space group: Fm-3m

The structure in extended XYZ format:
```
4
Lattice="-2.234 -1.065 -4.825 -4.960 -2.176 -0.271 -4.173 2.975 -1.772" Properties=species:S:1:pos:R:3 pbc="T T T"
Dy -8.525 -0.199 -5.151
Tm -5.683 -0.133 -3.434
Dy -2.842 -0.066 -1.717
In 0.000 0.000 0.000
```

Stability comparison, relative energies in meV/atom: A) 119; B) 0; C) 39; D) 129

A) First-principles (PBE-GGA) data for a geometry-optimized Dy3Tm6In structure, as listed in Alexandria via LeMat-Bulk.

Properties
Size of the total moment: 0.0 μB per cell
Crystal system: monoclinic
Space group: P2_1/m

The structure in extended XYZ format:
```
20
Lattice="3.503 0.000 0.000 0.000 12.592 -1.879 0.000 -6.151 14.564" Properties=species:S:1:pos:R:3 pbc="T T T"
Tm 0.876 3.317 3.447
Dy 2.627 4.746 6.080
In 0.876 9.228 2.785
Tm 0.876 7.919 5.941
Tm 2.627 6.453 3.245
Tm 0.876 -0.264 3.898
Tm 0.876 -0.012 9.440
In 2.627 -2.787 9.899
Tm 2.627 4.188 0.729
Tm 2.627 10.161 -0.083
Dy 0.876 5.437 11.569
Dy 2.627 1.004 1.116
Tm 0.876 2.253 11.956
Tm 2.627 6.705 8.787
Dy 0.876 1.694 6.605
Tm 0.876 -3.720 12.768
Tm 2.627 -1.478 6.744
Dy 2.627 -0.636 12.330
Dy 0.876 7.077 0.355
Tm 2.627 3.124 9.237
```

B) First-principles (PBE-GGA) data for a geometry-optimized Dy3Tm6In structure, as listed in Alexandria via LeMat-Bulk.

Properties
Size of the total moment: 0.0 μB per cell
Crystal system: monoclinic
Space group: P2_1/m

The structure in extended XYZ format:
```
20
Lattice="-4.028 2.594 -2.687 -6.433 -5.540 4.296 2.646 10.563 6.229" Properties=species:S:1:pos:R:3 pbc="T T T"
Dy -1.736 11.114 4.909
Tm -4.502 1.900 5.774
Tm -3.313 5.717 2.063
Tm -0.284 4.008 1.487
Dy -3.397 8.067 4.458
Dy -0.339 6.438 3.917
Tm -7.530 3.609 6.350
Tm -2.699 3.657 -0.844
Tm -1.068 8.306 6.811
Tm -5.806 6.680 6.729
Tm -2.009 0.937 1.108
Tm -5.126 2.573 1.746
Tm -2.689 5.044 6.092
Dy -7.475 1.178 3.921
Tm -6.747 -0.689 1.027
In -5.428 4.699 4.251
In -2.387 2.917 3.587
Tm -5.115 3.959 8.681
Dy -4.417 -0.451 3.379
Dy -6.079 -3.497 2.928
```

Stability comparison, relative energies in meV/atom: A) 42; B) 0

A) First-principles (PBE-GGA) data for a geometry-optimized Dy5Tm2In4 structure, as listed in Alexandria via LeMat-Bulk.

Properties
Size of the total moment: 0.0 μB per cell
Crystal system: orthorhombic
Space group: Immm

The structure in extended XYZ format:
```
11
Lattice="-2.958 -1.439 -0.985 -0.366 -4.292 7.367 -5.564 13.661 2.739" Properties=species:S:1:pos:R:3 pbc="T T T"
In -4.514 1.394 5.531
In -4.375 6.536 3.590
In -0.118 -1.378 2.365
Dy -1.479 -0.720 -0.493
Tm -1.387 2.073 1.138
Dy -2.841 5.193 0.946
Dy -2.985 3.510 3.835
Tm -7.501 5.857 7.982
Dy -5.904 4.420 5.286
In -0.249 -2.914 5.002
Dy -6.048 2.737 8.175
```

B) First-principles (PBE-GGA) data for a geometry-optimized Dy5Tm2In4 structure, as listed in Alexandria via LeMat-Bulk.

Properties
Size of the total moment: 0.0 μB per cell
Crystal system: monoclinic
Space group: P2/m

The structure in extended XYZ format:
```
11
Lattice="3.399 0.000 0.000 0.000 8.584 -0.040 0.000 1.152 10.430" Properties=species:S:1:pos:R:3 pbc="T T T"
In 1.700 1.842 1.228
Dy 0.000 4.375 3.450
Dy 0.000 2.379 8.921
Tm 3.399 1.141 3.758
Dy 0.000 4.292 -0.020
In 1.700 7.895 9.162
Dy 0.000 7.357 1.470
Tm 0.000 8.595 6.632
In 1.700 6.975 4.400
Dy 0.000 5.362 6.940
In 1.700 2.761 5.990
```

Stability comparison, relative energies in meV/atom: A) 556; B) 0

A) First-principles (PBE-GGA) data for a geometry-optimized DyTm2In2 structure, as listed in Alexandria via LeMat-Bulk.

Properties
Size of the total moment: 0.0 μB per cell
Crystal system: monoclinic
Space group: P2_1/m

The structure in extended XYZ format:
```
10
Lattice="3.681 0.000 -0.494 0.000 5.308 0.000 -0.021 0.000 13.841" Properties=species:S:1:pos:R:3 pbc="T T T"
In 2.020 1.327 1.093
Dy 0.540 1.327 4.062
In 1.299 1.327 9.685
Tm 0.175 3.981 1.307
Dy 3.120 3.981 9.286
Tm 0.865 3.981 6.460
In 1.640 3.981 12.255
Tm 3.485 1.327 12.041
In 2.361 3.981 3.663
Tm 2.796 1.327 6.887
```

B) First-principles (PBE-GGA) data for a geometry-optimized DyTm2In2 structure, as listed in Alexandria via LeMat-Bulk.

Properties
Size of the total moment: 0.0 μB per cell
Crystal system: orthorhombic
Space group: Cmc2_1

The structure in extended XYZ format:
```
10
Lattice="5.284 0.000 0.000 0.000 6.464 0.000 -2.642 0.000 7.979" Properties=species:S:1:pos:R:3 pbc="T T T"
In 2.642 5.568 4.592
Tm 0.000 5.503 3.137
Tm 2.642 5.015 7.585
Tm 2.642 2.271 4.843
In 2.642 0.430 1.631
Dy 2.642 3.744 1.568
In 0.000 3.662 6.348
Dy 0.000 0.512 6.411
Tm 0.000 1.783 0.395
In 0.000 2.336 3.387
```

Stability comparison, relative energies in meV/atom: A) 0; B) 59

A) First-principles (PBE-GGA) data for a geometry-optimized Dy2TmIn2 structure, as listed in Alexandria via LeMat-Bulk.

Properties
Size of the total moment: 0.0 μB per cell
Crystal system: orthorhombic
Space group: Immm

The structure in extended XYZ format:
```
5
Lattice="4.860 0.000 0.000 2.430 5.499 -0.061 2.430 1.414 5.315" Properties=species:S:1:pos:R:3 pbc="T T T"
Dy 2.430 2.116 1.608
Dy 7.289 4.797 3.646
In 4.860 2.581 3.779
In 4.860 4.333 1.475
Tm 0.000 0.000 0.000
```

B) First-principles (PBE-GGA) data for a geometry-optimized Dy2TmIn2 structure, as listed in Alexandria via LeMat-Bulk.

Properties
Size of the total moment: 0.0 μB per cell
Crystal system: monoclinic
Space group: P2_1/m

The structure in extended XYZ format:
```
10
Lattice="-1.512 -1.449 3.076 3.388 -4.085 -0.260 9.804 7.736 6.210" Properties=species:S:1:pos:R:3 pbc="T T T"
Dy 8.286 4.604 8.489
Dy 6.832 0.262 3.480
Dy 3.395 -2.402 0.536
Tm 3.569 1.088 2.263
In 7.307 3.984 5.468
In 4.373 -1.782 3.557
In 10.654 3.223 6.750
In 1.027 -1.021 2.275
Tm 8.111 1.114 6.762
Dy 4.848 1.940 5.546
```

Stability comparison, relative energies in meV/atom: A) 26; B) 0

A) First-principles (PBE-GGA) data for a geometry-optimized DyTmIn6 structure, as listed in Alexandria via LeMat-Bulk.

Properties
Size of the total moment: 0.0 μB per cell
Crystal system: hexagonal
Space group: P-6m2

The structure in extended XYZ format:
```
8
Lattice="5.324 0.000 0.000 0.000 6.569 -0.213 0.000 -3.100 5.796" Properties=species:S:1:pos:R:3 pbc="T T T"
In 0.000 -0.790 2.373
In 2.662 5.734 0.306
Dy 2.662 0.928 3.293
In 2.662 4.212 3.150
Tm 0.000 -2.294 5.295
In 0.000 0.992 5.241
In 2.662 2.510 0.411
In 0.000 2.584 2.264
```

B) First-principles (PBE-GGA) data for a geometry-optimized DyTmIn6 structure, as listed in Alexandria via LeMat-Bulk.

Properties
Size of the total moment: 0.0 μB per cell
Crystal system: tetragonal
Space group: P4/mmm

The structure in extended XYZ format:
```
8
Lattice="-1.632 4.326 0.053 -1.069 -0.349 -4.485 -8.391 -3.194 2.249" Properties=species:S:1:pos:R:3 pbc="T T T"
Dy -4.195 -1.597 1.125
In -6.841 -2.575 -0.552
Tm 0.000 0.000 0.000
In -2.619 -0.968 -1.684
In -5.546 0.391 -1.091
In -7.123 -0.238 1.717
In -2.901 1.369 0.585
In -1.351 1.989 -2.216
```

Stability comparison, relative energies in meV/atom: A) 66; B) 0

A) First-principles (PBE-GGA) data for a geometry-optimized Dy7Tm4In structure, as listed in Alexandria via LeMat-Bulk.

Properties
Size of the total moment: 0.0 μB per cell
Crystal system: triclinic
Space group: P-1

The structure in extended XYZ format:
```
12
Lattice="-1.139 6.518 0.588 -6.458 -0.177 0.339 2.432 -1.295 8.389" Properties=species:S:1:pos:R:3 pbc="T T T"
Dy 0.538 -0.203 5.840
Dy -5.703 5.250 3.475
Tm -2.699 0.969 6.350
Dy -1.529 3.592 8.616
In 0.000 0.000 0.000
Dy -0.569 3.259 0.294
Tm -2.465 4.078 2.965
Dy -4.721 1.962 3.780
Dy -0.443 3.085 5.535
Dy -3.635 1.455 0.699
Tm -1.392 0.819 3.101
Tm -3.773 4.228 6.214
```

B) First-principles (PBE-GGA) data for a geometry-optimized Dy7Tm4In structure, as listed in Alexandria via LeMat-Bulk.

Properties
Size of the total moment: 0.0 μB per cell
Crystal system: monoclinic
Space group: C2/m

The structure in extended XYZ format:
```
12
Lattice="-1.910 3.153 -4.526 -10.196 -4.565 -2.642 -4.015 5.131 1.504" Properties=species:S:1:pos:R:3 pbc="T T T"
Dy -8.695 3.068 -1.723
Tm -5.567 3.497 -2.744
Dy -3.273 2.919 -0.350
Dy -12.848 0.799 -5.315
Tm -10.553 0.222 -2.921
Tm -5.500 0.435 -1.140
Dy -7.426 0.651 -3.942
Dy -7.896 -2.547 -2.207
In 0.000 0.000 0.000
Tm -10.620 3.283 -4.525
Dy -8.224 6.266 -3.458
Dy -0.955 1.576 -2.263
```

Stability comparison, relative energies in meV/atom: A) 0; B) 217